Computed, not measured: an optimized crystal structure of PmScAgSn at the PBE-GGA level of DFT.

Theoretical density: 7.09 g/cm3
Uncorrected energy: -4.96 eV per atom
N(E_F): 0.9135 states/eV per atom
Magnetic moment: 2.7 Bohr magnetons per cell
SG: F-43m, No. 216

Cell lengths 7.3080, 7.3080, 7.3080 Å; angles 90.00, 90.00, 90.00 degrees
Closest atoms and distances in Å follow each position.
Fractional positions:
Pm 0.0000 0.0000 0.0000  4 Ag 3.16, 4 Sn 3.16
Pm 0.0000 0.5000 0.5000  4 Ag 3.16, 4 Sn 3.16
Pm 0.5000 0.0000 0.5000  4 Ag 3.16, 4 Sn 3.16
Pm 0.5000 0.5000 0.0000  4 Ag 3.16, 4 Sn 3.16
Sc 0.0000 0.0000 0.5000  4 Sn 3.16, 4 Ag 3.16
Sc 0.0000 0.5000 0.0000  4 Sn 3.16, 4 Ag 3.16
Sc 0.5000 0.0000 0.0000  4 Sn 3.16, 4 Ag 3.16
Sc 0.5000 0.5000 0.5000  4 Sn 3.16, 4 Ag 3.16
Ag 0.2500 0.2500 0.2500  4 Sc 3.16, 4 Pm 3.16
Ag 0.2500 0.7500 0.7500  4 Sc 3.16, 4 Pm 3.16
Ag 0.7500 0.2500 0.7500  4 Sc 3.16, 4 Pm 3.16
Ag 0.7500 0.7500 0.2500  4 Sc 3.16, 4 Pm 3.16
Sn 0.2500 0.2500 0.7500  4 Pm 3.16, 4 Sc 3.16
Sn 0.2500 0.7500 0.2500  4 Pm 3.16, 4 Sc 3.16
Sn 0.7500 0.2500 0.2500  4 Pm 3.16, 4 Sc 3.16
Sn 0.7500 0.7500 0.7500  4 Pm 3.16, 4 Sc 3.16